1.
DFT (PBE-GGA) results for crystalline TeBrCl2 at its relaxed geometry.

extended XYZ file:
```
4
Lattice="0.000 3.607 3.607 3.607 0.000 3.607 3.607 3.607 0.000" Properties=species:S:1:pos:R:3 pbc="T T T"
Te 0.000 0.000 0.000
Br 3.607 3.607 3.607
Cl 1.803 1.803 1.803
Cl 5.410 5.410 5.410
```

total moment: 0.0 μB per formula unit
N(E_F): 4.8 states/eV/cell
space group: Fm-3m (225)
polymorph energy (0 for the lowest one): 0.762 eV/atom
E_form (uncorrected): 0.359 eV/atom

=====

2.
DFT (PBE-GGA) results for crystalline TaNbZnMo at its relaxed geometry.

extended XYZ file:
```
4
Lattice="0.000 3.224 3.224 3.224 0.000 3.224 3.224 3.224 0.000" Properties=species:S:1:pos:R:3 pbc="T T T"
Ta 0.000 0.000 0.000
Nb 3.224 3.224 3.224
Zn 1.612 1.612 1.612
Mo 4.836 4.836 4.836
```

total moment: 0.0 μB per formula unit
N(E_F): 1.3 states/eV/cell
ΔH_f (0 K): 0.04 eV/atom
space group: F-43m (216)

=====

3.
DFT (PBE-GGA) results for crystalline Zr4SbBr at its relaxed geometry.

extended XYZ file:
```
6
Lattice="0.000 4.154 4.154 4.154 0.000 4.154 4.154 4.154 0.000" Properties=species:S:1:pos:R:3 pbc="T T T"
Zr 3.126 3.126 3.126
Zr 5.182 5.182 3.126
Zr 5.182 3.126 5.182
Zr 3.126 5.182 5.182
Sb 6.231 6.231 6.231
Br 0.000 0.000 0.000
```

total moment: 0.0 μB per formula unit
N(E_F): 3.5 states/eV/cell
space group: F-43m (216)
E_form (uncorrected): 0.199 eV/atom

=====

4.
DFT (PBE-GGA) results for crystalline MgCd2Cu2 at its relaxed geometry.

extended XYZ file:
```
10
Lattice="7.288 0.000 0.000 0.000 7.288 0.000 0.000 0.000 3.311" Properties=species:S:1:pos:R:3 pbc="T T T"
Mg 0.000 0.000 0.000
Mg 3.644 3.644 0.000
Cd 1.241 2.403 1.655
Cd 2.403 6.047 1.655
Cd 4.886 1.241 1.655
Cd 6.047 4.886 1.655
Cu 0.914 4.558 0.000
Cu 2.730 0.914 0.000
Cu 4.558 6.374 0.000
Cu 6.374 2.730 0.000
```

total moment: 0.0 μB per formula unit
N(E_F): 1.5 states/eV/cell
ΔH_f (0 K): -0.01 eV/atom
space group: P4/mbm (127)
polymorph energy (0 for the lowest one): 0.000 eV/atom

=====

5.
DFT (PBE-GGA) results for crystalline Pa2Al12Ir7 at its relaxed geometry.

extended XYZ file:
```
21
Lattice="9.919 0.000 0.000 -4.960 8.590 0.000 0.000 0.000 4.051" Properties=species:S:1:pos:R:3 pbc="T T T"
Pa 0.000 0.000 0.000
Pa 0.000 5.727 2.026
Al -1.225 2.537 2.026
Al -2.352 6.532 0.000
Al 0.479 3.287 0.000
Al -2.150 8.383 2.026
Al 2.783 1.657 0.000
Al 3.284 3.474 2.026
Al 5.269 1.107 2.026
Al 1.873 7.361 0.000
Al 3.375 6.261 2.026
Al 7.093 1.581 0.000
Al 5.003 5.352 0.000
Al 6.326 4.009 2.026
Ir -1.952 4.036 0.000
Ir 1.220 1.874 2.026
Ir -0.488 8.262 0.000
Ir 2.440 4.882 0.000
Ir 4.960 2.863 0.000
Ir 7.686 0.119 2.026
Ir 5.973 6.597 2.026
```

total moment: 0.0 μB per formula unit
N(E_F): 5.7 states/eV/cell
ΔH_f (0 K): -0.80 eV/atom
space group: P-6 (174)

=====

6.
DFT (PBE-GGA) results for crystalline Cs2BaNaAu at its relaxed geometry.

extended XYZ file:
```
5
Lattice="7.039 0.000 0.000 0.000 7.039 0.000 0.000 0.000 6.556" Properties=species:S:1:pos:R:3 pbc="T T T"
Cs 0.000 3.519 0.000
Cs 3.519 0.000 0.000
Ba 0.000 0.000 3.278
Na 3.519 3.519 3.278
Au 0.000 0.000 0.000
```

total moment: 0.0 μB per formula unit
N(E_F): 5.3 states/eV/cell
ΔH_f (0 K): -0.11 eV/atom
space group: P4/mmm (123)